Record 1
## TbTlHgRh (PBE-GGA)

Data for crystalline TbTlHgRh at its relaxed geometry.

Cell: 4.981 4.981 4.981 Å, 60.00 60.00 60.00°
Fractional coordinates of all 4 atoms:
Rh (0.750, 0.750, 0.750)
Tl (0.000, 0.000, 0.000)
Tb (0.500, 0.500, 0.500)
Hg (0.250, 0.250, 0.250)

Output
energy of formation = -0.260 eV per atom
E = -3.92 eV per atom
total magnetization = 0.00 μB per atom



Record 2
## Tb5Tl2HgRh2 (PBE-GGA)

Data for crystalline Tb5Tl2HgRh2 at its relaxed geometry.

Cell: 3.694 11.845 11.845 Å, 90.00 90.00 90.00°
Fractional coordinates of all 20 atoms:
Tb (0.500, 0.204, 0.078)
Tb (0.500, 0.796, 0.922)
Tb (0.500, 0.078, 0.796)
Tb (0.500, 0.704, 0.422)
Tb (0.500, 0.922, 0.204)
Tb (0.500, 0.296, 0.578)
Tb (0.500, 0.578, 0.704)
Tb (0.500, 0.422, 0.296)
Tb (0.500, 0.500, 0.000)
Tb (0.500, 0.000, 0.500)
Tl (0.000, 0.673, 0.173)
Tl (0.000, 0.327, 0.827)
Tl (0.000, 0.173, 0.327)
Tl (0.000, 0.827, 0.673)
Hg (0.000, 0.000, 0.000)
Hg (0.000, 0.500, 0.500)
Rh (0.000, 0.131, 0.631)
Rh (0.000, 0.869, 0.369)
Rh (0.000, 0.631, 0.869)
Rh (0.000, 0.369, 0.131)

Output
energy of formation = -0.537 eV per atom
E = -4.83 eV per atom
total magnetization = 0.00 μB per atom



Record 3
## Tb4Tl2HgRh (PBE-GGA)

Data for crystalline Tb4Tl2HgRh at its relaxed geometry.

Cell: 5.265 5.265 8.999 Å, 72.99 72.99 60.00°
Fractional coordinates of all 8 atoms:
Tb (0.385, 0.385, 0.846)
Tb (0.869, 0.869, 0.393)
Tb (0.131, 0.131, 0.607)
Tb (0.615, 0.615, 0.154)
Tl (0.744, 0.744, 0.768)
Tl (0.256, 0.256, 0.232)
Hg (0.000, 0.000, 0.000)
Rh (0.500, 0.500, 0.500)

Output
energy of formation = -0.474 eV per atom
E = -4.34 eV per atom
total magnetization = 0.00 μB per atom



What is the formula in the first record?
TbTlHgRh



Which value of total magnetization does entry 1 give?
0.00 μB per atom